Here is an optimized crystal structure of NbCd3Br from Alexandria via LeMat-Bulk. Energies are from PBE.

The calculation puts the polymorph energy (0 for the lowest one) at 0.0000 eV/atom. The formation energy without anion corrections comes out at 763 meV per atom. For the total magnetization, the calculation gives 3.9 μB per formula unit. The calculation puts the calculated volume at 183.5 Å³/cell. The value obtained for the calculated density is 4.615 g/cm³.

The structure belongs to space group Pm-3m (No. 221); the cell edges are 5.683, 5.683 and 5.683 Å and the angles 90.00°, 90.00° and 90.00°. The asymmetric unit holds Nb at (0.000, 0.000, 0.000), Cd at (0.000, 0.000, 0.500) and Br at (0.500, 0.500, 0.500).